# 1
! Dy4CdPt2 PBE-GGA relaxed; values from VASP
! Uncorrected energy   -36.59 eV per cell
! ΔH_f (0 K)   -0.74 eV per atom
! M_tot   0.0 μB per formula unit
! Crystal system   trigonal
! Theoretical density   10.2 g/cm3
! N(E_F)   1.09 states/eV/atom
&SYSTEM
  ibrav = 0, nat = 7, ntyp = 3
/
ATOMIC_SPECIES
Cd 112.41 Cd.upf
Dy 162.50 Dy.upf
Pt 195.08 Pt.upf
ATOMIC_POSITIONS angstrom
Cd 0.7255 -5.3958 4.8776
Dy 3.6551 -4.5320 4.0067
Dy 2.2343 -8.7322 7.8622
Dy -0.7833 -2.0595 1.8930
Dy -2.2040 -6.2597 5.7485
Pt -1.6224 -4.0879 3.7595
Pt 3.0734 -6.7038 5.9958
CELL_PARAMETERS angstrom
-2.3584 -0.8184 3.9948
-2.4614 -3.9841 0.5080
6.2708 -5.9891 5.2525

# 2
! Dy6CdPt2 PBE-GGA relaxed; values from VASP
! Uncorrected energy   -93.58 eV per cell
! ΔH_f (0 K)   -0.69 eV per atom
! M_tot   0.0 μB per formula unit
! Crystal system   orthorhombic
! Theoretical density   10.3 g/cm3
! N(E_F)   1.04 states/eV/atom
&SYSTEM
  ibrav = 0, nat = 18, ntyp = 3
/
ATOMIC_SPECIES
Pt 195.08 Pt.upf
Dy 162.50 Dy.upf
Cd 112.41 Cd.upf
ATOMIC_POSITIONS angstrom
Pt 1.0252 5.6742 2.8039
Pt 0.5236 2.8982 1.4321
Pt -0.1692 2.7793 5.5124
Pt -4.8461 0.6198 0.5175
Dy -3.5676 -0.6477 2.6151
Dy -4.4493 -2.0556 5.7866
Dy -2.3203 2.2412 0.3499
Dy 1.0985 0.1685 6.2954
Dy -6.1139 3.2307 -0.2654
Dy -4.7101 2.6744 2.9830
Dy -2.6950 1.1579 5.6800
Dy -0.3052 0.7248 3.0469
Dy -1.6600 -1.4386 7.9203
Dy -3.3554 4.8378 -1.8904
Dy -0.5660 5.4548 0.2433
Dy -1.4477 4.0468 3.4149
Cd -1.2904 -2.0606 4.6417
Cd 0.0000 0.0000 0.0000
CELL_PARAMETERS angstrom
-2.4346 7.5203 -3.2535
-6.5642 -5.1732 1.7939
3.9834 1.0520 7.4896

# 3
! Dy7Cd2Pt2 PBE-GGA relaxed; values from VASP
! Uncorrected energy   -51.44 eV per cell
! ΔH_f (0 K)   -0.48 eV per atom
! M_tot   0.0 μB per formula unit
! Crystal system   orthorhombic
! Theoretical density   9.1 g/cm3
! N(E_F)   0.99 states/eV/atom
&SYSTEM
  ibrav = 0, nat = 11, ntyp = 3
/
ATOMIC_SPECIES
Dy 162.50 Dy.upf
Cd 112.41 Cd.upf
Pt 195.08 Pt.upf
ATOMIC_POSITIONS angstrom
Dy -5.4246 -2.9597 -3.1755
Dy -4.1507 -5.2076 1.0174
Dy -2.7632 -4.1022 3.9380
Dy 0.0000 0.0000 0.0000
Dy -1.4437 -2.7581 -2.2884
Dy -6.7441 -4.3038 3.0509
Dy -4.0370 -1.8543 -0.2549
Cd -1.5035 -3.3998 0.9585
Cd -6.6842 -3.6621 -0.1960
Pt -3.4664 -1.0252 -3.0039
Pt -4.7214 -6.0367 3.7665
CELL_PARAMETERS angstrom
-2.7714 -2.1397 -5.8693
-0.2280 -6.6588 2.5364
-5.1884 1.7366 4.0955

# 4
! DyCdPt PBE-GGA relaxed; values from VASP
! Uncorrected energy   -13.91 eV per cell
! ΔH_f (0 K)   -0.79 eV per atom
! M_tot   0.0 μB per formula unit
! Crystal system   cubic
! Theoretical density   10.6 g/cm3
! N(E_F)   0.58 states/eV/atom
&SYSTEM
  ibrav = 0, nat = 3, ntyp = 3
/
ATOMIC_SPECIES
Pt 195.08 Pt.upf
Cd 112.41 Cd.upf
Dy 162.50 Dy.upf
ATOMIC_POSITIONS angstrom
Pt 0.9789 -2.2795 1.4735
Cd 1.9579 -4.5590 2.9470
Dy 0.0000 0.0000 0.0000
CELL_PARAMETERS angstrom
-1.1902 -3.4679 2.9595
2.0619 -4.2209 -0.3660
3.0440 -1.4291 3.3004

# 5
! Dy4Cd3Pt PBE-GGA relaxed; values from VASP
! Uncorrected energy   -31.63 eV per cell
! ΔH_f (0 K)   -0.55 eV per atom
! M_tot   0.0 μB per formula unit
! Crystal system   tetragonal
! Theoretical density   9.9 g/cm3
! N(E_F)   0.82 states/eV/atom
&SYSTEM
  ibrav = 0, nat = 8, ntyp = 3
/
ATOMIC_SPECIES
Dy 162.50 Dy.upf
Cd 112.41 Cd.upf
Pt 195.08 Pt.upf
ATOMIC_POSITIONS angstrom
Dy 0.0000 0.0000 9.3951
Dy 0.0000 0.0000 1.6227
Dy 0.0000 0.0000 13.2840
Dy 0.0000 0.0000 5.5115
Cd 1.8242 1.8242 11.2788
Cd 1.8242 1.8242 7.4533
Cd 1.8242 1.8242 3.6279
Pt 1.8242 1.8242 0.0000
CELL_PARAMETERS angstrom
3.6483 0.0000 0.0000
0.0000 3.6483 0.0000
0.0000 0.0000 14.9066

# 6
! Dy5Cd2RuPt2 PBE-GGA relaxed; values from VASP
! Uncorrected energy   -105.62 eV per cell
! ΔH_f (0 K)   -0.66 eV per atom
! M_tot   0.0 μB per formula unit
! Crystal system   tetragonal
! Theoretical density   10.4 g/cm3
! N(E_F)   0.68 states/eV/atom
&SYSTEM
  ibrav = 0, nat = 20, ntyp = 4
/
ATOMIC_SPECIES
Dy 162.50 Dy.upf
Ru 101.07 Ru.upf
Cd 112.41 Cd.upf
Pt 195.08 Pt.upf
ATOMIC_POSITIONS angstrom
Dy 1.7693 5.8722 0.0000
Dy 1.7693 10.9020 2.2218
Dy 1.7693 6.7147 8.0940
Dy 1.7693 8.0940 5.0297
Dy 1.7693 2.2218 0.8425
Dy 1.7693 0.0000 5.8722
Dy 1.7693 3.6504 6.7147
Dy 1.7693 9.5226 10.9020
Dy 1.7693 5.0297 3.6504
Dy 1.7693 0.8425 9.5226
Ru 0.0000 0.0000 0.0000
Ru 0.0000 5.8722 5.8722
Cd 0.0000 3.8106 9.6828
Cd 0.0000 7.9339 2.0617
Cd 0.0000 9.6828 7.9339
Cd 0.0000 2.0617 3.8106
Pt 0.0000 7.4575 10.1591
Pt 0.0000 10.1591 4.2869
Pt 0.0000 1.5853 7.4575
Pt 0.0000 4.2869 1.5853
CELL_PARAMETERS angstrom
3.5385 0.0000 0.0000
0.0000 11.7444 0.0000
0.0000 0.0000 11.7444

# 7
! DyScCdPt PBE-GGA relaxed; values from VASP
! Uncorrected energy   -20.71 eV per cell
! ΔH_f (0 K)   -0.70 eV per atom
! M_tot   0.0 μB per formula unit
! Crystal system   cubic
! Theoretical density   9.9 g/cm3
! N(E_F)   0.85 states/eV/atom
&SYSTEM
  ibrav = 0, nat = 4, ntyp = 4
/
ATOMIC_SPECIES
Dy 162.50 Dy.upf
Cd 112.41 Cd.upf
Pt 195.08 Pt.upf
Sc 44.96 Sc.upf
ATOMIC_POSITIONS angstrom
Dy 0.0000 0.0000 0.0000
Cd 2.4810 1.4324 1.0129
Pt 7.4430 4.2972 3.0386
Sc 4.9620 2.8648 2.0257
CELL_PARAMETERS angstrom
4.9620 0.0000 0.0000
2.4810 4.2972 0.0000
2.4810 1.4324 4.0514

# 8
! Dy2CdSi3Pt4 PBE-GGA relaxed; values from VASP
! Uncorrected energy   -59.93 eV per cell
! Raw formation energy   -0.94 eV per atom
! M_tot   0.0 μB per formula unit
! Crystal system   tetragonal
! Theoretical density   11.7 g/cm3
! N(E_F)   0.46 states/eV/atom
&SYSTEM
  ibrav = 0, nat = 10, ntyp = 4
/
ATOMIC_SPECIES
Pt 195.08 Pt.upf
Cd 112.41 Cd.upf
Si 28.09 Si.upf
Dy 162.50 Dy.upf
ATOMIC_POSITIONS angstrom
Pt -0.0409 -2.6432 1.3433
Pt 0.6183 0.4153 4.1087
Pt 0.0000 0.0000 0.0000
Pt -2.9968 1.5938 6.3175
Cd -1.2097 -0.3171 5.8848
Si -1.1688 2.3261 4.5415
Si -3.5124 2.6198 8.3206
Si 1.1338 -0.6107 2.1056
Dy -2.0383 -0.3138 2.5933
Dy -0.3402 2.3228 7.8329
CELL_PARAMETERS angstrom
-2.9310 -2.9076 0.7349
2.8491 -2.3787 1.9517
-2.3376 4.6522 9.0829

Look up the uncorrected energy of the eighth one. -59.93 eV per cell

Number 3 is which compound? Dy7Cd2Pt2

Which of these has the lowest theoretical density? Dy7Cd2Pt2